1.
# K2TlGe GGA-PBE relaxed
# ΔE to the lowest computed polymorph = 0.154 eV/atom
# crystal system = tetragonal
# DOS(E_F) = 0.669 states/eV/atom
# size of the total moment = 0.000 Bohr magnetons per cell
# ΔH_f (0 K) = 310 meV per atom
data_K2TlGe
_cell_length_a 4.841
_cell_length_b 4.841
_cell_length_c 24.072
_cell_angle_alpha 90.00
_cell_angle_beta 90.00
_cell_angle_gamma 90.00
_symmetry_space_group_name_H-M 'P 1'
_symmetry_Int_Tables_number 1
_symmetry_space_group_name_Hall 'P 1'
loop_
_atom_site_label
_atom_site_type_symbol
_atom_site_fract_x
_atom_site_fract_y
_atom_site_fract_z
K1 K 0.241 0.250 0.125
K2 K 0.250 0.741 0.375
K3 K 0.250 0.759 0.875
K4 K 0.259 0.250 0.625
K5 K 0.741 0.750 0.625
K6 K 0.750 0.241 0.875
K7 K 0.750 0.259 0.375
K8 K 0.759 0.750 0.125
Tl1 Tl 0.000 0.000 0.500
Tl2 Tl 0.000 0.500 0.750
Tl3 Tl 0.500 0.000 0.250
Tl4 Tl 0.500 0.500 0.000
Ge1 Ge 0.000 0.000 0.000
Ge2 Ge 0.000 0.500 0.250
Ge3 Ge 0.500 0.000 0.750
Ge4 Ge 0.500 0.500 0.500

2.
# KTlGe GGA-PBE relaxed
# crystal system = orthorhombic
# DOS(E_F) = 0.076 states/eV/atom
# size of the total moment = 0.000 Bohr magnetons per cell
# ΔH_f (0 K) = 73 meV per atom
data_KTlGe
_cell_length_a 12.606
_cell_length_b 7.185
_cell_length_c 4.522
_cell_angle_alpha 90.00
_cell_angle_beta 90.00
_cell_angle_gamma 90.00
_symmetry_space_group_name_H-M 'P 1'
_symmetry_Int_Tables_number 1
_symmetry_space_group_name_Hall 'P 1'
loop_
_atom_site_label
_atom_site_type_symbol
_atom_site_fract_x
_atom_site_fract_y
_atom_site_fract_z
K1 K 0.210 0.250 0.067
K2 K 0.290 0.750 0.567
K3 K 0.710 0.250 0.433
K4 K 0.790 0.750 0.933
Tl1 Tl 0.000 0.000 0.500
Tl2 Tl 0.000 0.500 0.500
Tl3 Tl 0.500 0.000 0.000
Tl4 Tl 0.500 0.500 0.000
Ge1 Ge 0.073 0.750 0.084
Ge2 Ge 0.427 0.250 0.584
Ge3 Ge 0.573 0.750 0.416
Ge4 Ge 0.927 0.250 0.916

3.
# KTl2Ge2 GGA-PBE relaxed
# ΔE to the lowest computed polymorph = 0.145 eV/atom
# crystal system = tetragonal
# DOS(E_F) = 0.541 states/eV/atom
# size of the total moment = 0.000 Bohr magnetons per cell
# ΔH_f (0 K) = 148 meV per atom
data_KTl2Ge2
_cell_length_a 8.933
_cell_length_b 8.933
_cell_length_c 3.505
_cell_angle_alpha 90.00
_cell_angle_beta 90.00
_cell_angle_gamma 90.00
_symmetry_space_group_name_H-M 'P 1'
_symmetry_Int_Tables_number 1
_symmetry_space_group_name_Hall 'P 1'
loop_
_atom_site_label
_atom_site_type_symbol
_atom_site_fract_x
_atom_site_fract_y
_atom_site_fract_z
K1 K 0.000 0.000 0.000
K2 K 0.500 0.500 0.000
Tl1 Tl 0.140 0.360 0.000
Tl2 Tl 0.360 0.860 0.000
Tl3 Tl 0.640 0.140 0.000
Tl4 Tl 0.860 0.640 0.000
Ge1 Ge 0.149 0.649 0.500
Ge2 Ge 0.351 0.149 0.500
Ge3 Ge 0.649 0.851 0.500
Ge4 Ge 0.851 0.351 0.500

4.
# KTlGe GGA-PBE relaxed
# crystal system = triclinic
# DOS(E_F) = 0.520 states/eV/atom
# size of the total moment = 0.000 Bohr magnetons per cell
# ΔH_f (0 K) = -56 meV per atom
data_KTlGe
_cell_length_a 5.037
_cell_length_b 6.473
_cell_length_c 6.658
_cell_angle_alpha 79.09
_cell_angle_beta 67.79
_cell_angle_gamma 67.15
_symmetry_space_group_name_H-M 'P 1'
_symmetry_Int_Tables_number 1
_symmetry_space_group_name_Hall 'P 1'
loop_
_atom_site_label
_atom_site_type_symbol
_atom_site_fract_x
_atom_site_fract_y
_atom_site_fract_z
K1 K 0.072 0.183 0.173
K2 K 0.928 0.817 0.827
Tl1 Tl 0.324 0.586 0.267
Tl2 Tl 0.676 0.414 0.733
Ge1 Ge 0.365 0.193 0.575
Ge2 Ge 0.635 0.807 0.425

5.
# KTlGe GGA-PBE relaxed
# crystal system = orthorhombic
# DOS(E_F) = 0.406 states/eV/atom
# size of the total moment = 0.000 Bohr magnetons per cell
# ΔH_f (0 K) = -1 meV per atom
data_KTlGe
_cell_length_a 5.101
_cell_length_b 8.315
_cell_length_c 8.532
_cell_angle_alpha 90.00
_cell_angle_beta 90.00
_cell_angle_gamma 90.00
_symmetry_space_group_name_H-M 'P 1'
_symmetry_Int_Tables_number 1
_symmetry_space_group_name_Hall 'P 1'
loop_
_atom_site_label
_atom_site_type_symbol
_atom_site_fract_x
_atom_site_fract_y
_atom_site_fract_z
K1 K 0.250 0.177 0.000
K2 K 0.250 0.323 0.500
K3 K 0.750 0.677 0.500
K4 K 0.750 0.823 0.000
Tl1 Tl 0.250 0.609 0.177
Tl2 Tl 0.250 0.891 0.677
Tl3 Tl 0.750 0.109 0.677
Tl4 Tl 0.750 0.391 0.177
Ge1 Ge 0.250 0.570 0.835
Ge2 Ge 0.250 0.930 0.335
Ge3 Ge 0.750 0.070 0.335
Ge4 Ge 0.750 0.430 0.835

6.
# KTlGe GGA-PBE relaxed
# crystal system = triclinic
# DOS(E_F) = 0.277 states/eV/atom
# size of the total moment = 0.000 Bohr magnetons per cell
# ΔH_f (0 K) = -68 meV per atom
data_KTlGe
_cell_length_a 4.527
_cell_length_b 7.025
_cell_length_c 7.318
_cell_angle_alpha 76.24
_cell_angle_beta 72.14
_cell_angle_gamma 71.22
_symmetry_space_group_name_H-M 'P 1'
_symmetry_Int_Tables_number 1
_symmetry_space_group_name_Hall 'P 1'
loop_
_atom_site_label
_atom_site_type_symbol
_atom_site_fract_x
_atom_site_fract_y
_atom_site_fract_z
K1 K 0.000 0.000 0.000
K2 K 0.106 0.427 0.355
Tl1 Tl 0.359 0.852 0.428
Tl2 Tl 0.366 0.443 0.826
Ge1 Ge 0.656 0.084 0.603
Ge2 Ge 0.771 0.721 0.736

7.
# KTlGe GGA-PBE relaxed
# crystal system = triclinic
# DOS(E_F) = 0.364 states/eV/atom
# size of the total moment = 0.000 Bohr magnetons per cell
# ΔH_f (0 K) = -97 meV per atom
data_KTlGe
_cell_length_a 4.016
_cell_length_b 6.687
_cell_length_c 8.691
_cell_angle_alpha 102.03
_cell_angle_beta 90.00
_cell_angle_gamma 107.44
_symmetry_space_group_name_H-M 'P 1'
_symmetry_Int_Tables_number 1
_symmetry_space_group_name_Hall 'P 1'
loop_
_atom_site_label
_atom_site_type_symbol
_atom_site_fract_x
_atom_site_fract_y
_atom_site_fract_z
K1 K 0.000 0.000 0.000
K2 K 0.183 0.367 0.633
Tl1 Tl 0.470 0.938 0.333
Tl2 Tl 0.735 0.470 0.242
Ge1 Ge 0.476 0.956 0.683
Ge2 Ge 0.877 0.756 0.550

8.
# KTlGe GGA-PBE relaxed
# crystal system = triclinic
# DOS(E_F) = 0.196 states/eV/atom
# size of the total moment = 0.000 Bohr magnetons per cell
# ΔH_f (0 K) = -89 meV per atom
data_KTlGe
_cell_length_a 3.899
_cell_length_b 7.038
_cell_length_c 8.160
_cell_angle_alpha 68.40
_cell_angle_beta 76.19
_cell_angle_gamma 74.41
_symmetry_space_group_name_H-M 'P 1'
_symmetry_Int_Tables_number 1
_symmetry_space_group_name_Hall 'P 1'
loop_
_atom_site_label
_atom_site_type_symbol
_atom_site_fract_x
_atom_site_fract_y
_atom_site_fract_z
K1 K 0.000 0.000 0.000
K2 K 0.098 0.267 0.519
Tl1 Tl 0.395 0.784 0.421
Tl2 Tl 0.702 0.483 0.097
Ge1 Ge 0.353 0.498 0.782
Ge2 Ge 0.743 0.771 0.737

9.
# K2TlGe GGA-PBE relaxed
# ΔE to the lowest computed polymorph = 0.000 eV/atom
# crystal system = cubic
# DOS(E_F) = 0.524 states/eV/atom
# size of the total moment = 3.991 Bohr magnetons per cell
# ΔH_f (0 K) = 156 meV per atom
data_K2TlGe
_cell_length_a 8.210
_cell_length_b 8.210
_cell_length_c 8.210
_cell_angle_alpha 90.00
_cell_angle_beta 90.00
_cell_angle_gamma 90.00
_symmetry_space_group_name_H-M 'P 1'
_symmetry_Int_Tables_number 1
_symmetry_space_group_name_Hall 'P 1'
loop_
_atom_site_label
_atom_site_type_symbol
_atom_site_fract_x
_atom_site_fract_y
_atom_site_fract_z
K1 K 0.250 0.250 0.250
K2 K 0.250 0.250 0.750
K3 K 0.250 0.750 0.250
K4 K 0.250 0.750 0.750
K5 K 0.750 0.250 0.250
K6 K 0.750 0.250 0.750
K7 K 0.750 0.750 0.250
K8 K 0.750 0.750 0.750
Tl1 Tl 0.000 0.000 0.000
Tl2 Tl 0.000 0.500 0.500
Tl3 Tl 0.500 0.000 0.500
Tl4 Tl 0.500 0.500 0.000
Ge1 Ge 0.000 0.000 0.500
Ge2 Ge 0.000 0.500 0.000
Ge3 Ge 0.500 0.000 0.000
Ge4 Ge 0.500 0.500 0.500

10.
# KTlGe GGA-PBE relaxed
# crystal system = hexagonal
# DOS(E_F) = 0.388 states/eV/atom
# size of the total moment = 0.000 Bohr magnetons per cell
# ΔH_f (0 K) = 1 meV per atom
data_KTlGe
_cell_length_a 5.136
_cell_length_b 5.136
_cell_length_c 7.814
_cell_angle_alpha 90.00
_cell_angle_beta 90.00
_cell_angle_gamma 120.00
_symmetry_space_group_name_H-M 'P 1'
_symmetry_Int_Tables_number 1
_symmetry_space_group_name_Hall 'P 1'
loop_
_atom_site_label
_atom_site_type_symbol
_atom_site_fract_x
_atom_site_fract_y
_atom_site_fract_z
K1 K 0.000 0.000 0.000
K2 K 0.000 0.000 0.500
Tl1 Tl 0.667 0.333 0.218
Tl2 Tl 0.667 0.333 0.782
Ge1 Ge 0.333 0.667 0.325
Ge2 Ge 0.333 0.667 0.675

11.
# KTlGe GGA-PBE relaxed
# crystal system = tetragonal
# DOS(E_F) = 0.175 states/eV/atom
# size of the total moment = 0.000 Bohr magnetons per cell
# ΔH_f (0 K) = -8 meV per atom
data_KTlGe
_cell_length_a 4.847
_cell_length_b 4.847
_cell_length_c 8.217
_cell_angle_alpha 90.00
_cell_angle_beta 90.00
_cell_angle_gamma 90.00
_symmetry_space_group_name_H-M 'P 1'
_symmetry_Int_Tables_number 1
_symmetry_space_group_name_Hall 'P 1'
loop_
_atom_site_label
_atom_site_type_symbol
_atom_site_fract_x
_atom_site_fract_y
_atom_site_fract_z
K1 K 0.250 0.250 0.157
K2 K 0.750 0.750 0.843
Tl1 Tl 0.250 0.750 0.500
Tl2 Tl 0.750 0.250 0.500
Ge1 Ge 0.250 0.250 0.713
Ge2 Ge 0.750 0.750 0.287

12.
# K5Tl6Ge GGA-PBE relaxed
# crystal system = monoclinic
# DOS(E_F) = 0.407 states/eV/atom
# size of the total moment = 0.000 Bohr magnetons per cell
# ΔH_f (0 K) = -66 meV per atom
data_K5Tl6Ge
_cell_length_a 8.835
_cell_length_b 8.835
_cell_length_c 8.886
_cell_angle_alpha 97.77
_cell_angle_beta 97.77
_cell_angle_gamma 131.60
_symmetry_space_group_name_H-M 'P 1'
_symmetry_Int_Tables_number 1
_symmetry_space_group_name_Hall 'P 1'
loop_
_atom_site_label
_atom_site_type_symbol
_atom_site_fract_x
_atom_site_fract_y
_atom_site_fract_z
K1 K 0.000 0.000 0.000
K2 K 0.297 0.703 0.000
K3 K 0.363 0.637 0.500
K4 K 0.637 0.363 0.500
K5 K 0.703 0.297 0.000
Tl1 Tl 0.094 0.790 0.312
Tl2 Tl 0.210 0.906 0.688
Tl3 Tl 0.369 0.369 0.791
Tl4 Tl 0.631 0.631 0.209
Tl5 Tl 0.790 0.094 0.312
Tl6 Tl 0.906 0.210 0.688
Ge1 Ge 0.000 0.000 0.500

Repeat the first record exactly.
# K2TlGe GGA-PBE relaxed
# ΔE to the lowest computed polymorph = 0.154 eV/atom
# crystal system = tetragonal
# DOS(E_F) = 0.669 states/eV/atom
# size of the total moment = 0.000 Bohr magnetons per cell
# ΔH_f (0 K) = 310 meV per atom
data_K2TlGe
_cell_length_a 4.841
_cell_length_b 4.841
_cell_length_c 24.072
_cell_angle_alpha 90.00
_cell_angle_beta 90.00
_cell_angle_gamma 90.00
_symmetry_space_group_name_H-M 'P 1'
_symmetry_Int_Tables_number 1
_symmetry_space_group_name_Hall 'P 1'
loop_
_atom_site_label
_atom_site_type_symbol
_atom_site_fract_x
_atom_site_fract_y
_atom_site_fract_z
K1 K 0.241 0.250 0.125
K2 K 0.250 0.741 0.375
K3 K 0.250 0.759 0.875
K4 K 0.259 0.250 0.625
K5 K 0.741 0.750 0.625
K6 K 0.750 0.241 0.875
K7 K 0.750 0.259 0.375
K8 K 0.759 0.750 0.125
Tl1 Tl 0.000 0.000 0.500
Tl2 Tl 0.000 0.500 0.750
Tl3 Tl 0.500 0.000 0.250
Tl4 Tl 0.500 0.500 0.000
Ge1 Ge 0.000 0.000 0.000
Ge2 Ge 0.000 0.500 0.250
Ge3 Ge 0.500 0.000 0.750
Ge4 Ge 0.500 0.500 0.500